Below is an optimized crystal structure of RbSb2AsW, with properties calculated at the PBE-GGA level.

Formation energy from raw total energies: 883.2 meV per atom
SG: P4/mmm

a = 5.7075 Å, b = 5.7075 Å, c = 4.8193 Å
α = 90.00°, β = 90.00°, γ = 90.00°
Element x y z (fractional)
Rb1 0.0000 0.0000 0.0000
Sb1 0.0000 0.5000 0.5000
Sb2 0.5000 0.0000 0.5000
As1 0.5000 0.5000 0.5000
W1 0.5000 0.5000 0.0000